1.
A plane-wave DFT calculation with PBE with a Hubbard U was carried out for Na2MnSiO after structural relaxation.

Summary:
- Volume: 128.1 Å³ per cell
- Total DFT energy (no corrections): -3.992 eV/atom
- Total magnetic moment: 0.856 μB per atom
- Symmetry: P4/mmm, No. 123

Cell lengths 6.0600, 3.4879, 6.0600 Å; angles 90.00, 90.00, 90.00 degrees
Closest atoms and distances in Å follow each position.
Fractional coordinates of all 5 atoms:
Na1 0.0000 0.0000 0.5000  2 Si 3.03
Na2 0.5000 0.0000 0.0000  2 Si 3.03
Si1 0.0000 0.0000 0.0000  2 O 1.74
Mn1 0.5000 0.5000 0.5000  2 Mn 3.49, 8 Na 3.50
O1 0.0000 0.5000 0.0000  2 Si 1.74

2.
A plane-wave DFT calculation with PBE with a Hubbard U was carried out for NaMn2Si3O9 after structural relaxation.

Summary:
- Volume: 353.9 Å³ per cell
- Total DFT energy (no corrections): -7.486 eV/atom
- Total magnetic moment: 0.600 μB per atom
- Symmetry: P1, No. 1

Cell lengths 6.5706, 7.2712, 7.4999 Å; angles 98.62, 92.50, 88.56 degrees
Closest atoms and distances in Å follow each position.
Fractional coordinates of all 30 atoms:
Na1 0.3854 0.2746 0.5861  5 O 2.25-2.47
Na2 0.6237 0.7156 0.4102  6 O 2.23-2.45
Mn1 0.1417 0.5661 0.8477  4 O 1.93-2.09
Mn2 0.8422 0.3883 0.1236  4 O 1.98-2.17
Mn3 0.1346 0.0552 0.8314  3 O 2.00-2.21
Mn4 0.8728 0.9366 0.1606  4 O 1.95-2.02
Si1 0.3389 0.4070 0.2125  4 O 1.59-1.68
Si2 0.6533 0.5943 0.7770  4 O 1.60-1.68
Si3 0.3582 0.9750 0.2204  4 O 1.62-1.68
Si4 0.6468 0.0284 0.7926  4 O 1.58-1.67
Si5 0.1458 0.7435 0.4591  4 O 1.63-1.67
Si6 0.8590 0.2674 0.5427  4 O 1.63-1.67
O1 0.1114 0.7675 0.6770  1 Si 1.64
O2 0.8876 0.2158 0.3260  1 Si 1.63
O3 0.9390 0.7683 0.3352  1 Si 1.63
O4 0.0627 0.2840 0.6747  1 Si 1.63
O5 0.5605 0.4750 0.1789  1 Si 1.59
O6 0.4299 0.5301 0.8153  1 Si 1.60
O7 0.5816 0.8958 0.1628  1 Si 1.62
O8 0.4306 0.1143 0.8481  1 Si 1.58
O9 0.1527 0.4143 0.0580  1 Si 1.65
O10 0.8447 0.5761 0.9241  1 Si 1.65
O11 0.1628 0.9115 0.0783  1 Si 1.66
O12 0.8328 0.0811 0.9505  1 Si 1.67
O13 0.2561 0.5381 0.4001  2 Si 1.65-1.68
O14 0.7210 0.4646 0.5832  2 Si 1.67-1.68
O15 0.3108 0.8999 0.4155  2 Si 1.67-1.68
O16 0.7145 0.1070 0.6073  2 Si 1.66
O17 0.3520 0.2006 0.2766  2 Si 1.63-1.64
O18 0.6468 0.8041 0.7246  2 Si 1.63

3.
A plane-wave DFT calculation with PBE with a Hubbard U was carried out for Na2MnSiO4 after structural relaxation.

Summary:
- Volume: 97.2 Å³ per cell
- Total DFT energy (no corrections): -6.336 eV/atom
- Total magnetic moment: 0.375 μB per atom
- Symmetry: I-4, No. 82

Cell lengths 5.0231, 5.0231, 5.0231 Å; angles 105.13, 111.68, 111.68 degrees
Closest atoms and distances in Å follow each position.
Fractional coordinates of all 8 atoms:
Na1 0.5000 0.7500 0.2500  4 O 2.37
Na2 0.0000 0.0000 0.0000  4 O 2.46
Mn1 0.5000 0.2500 0.7500  4 O 1.98
Si1 0.0000 0.5000 0.5000  4 O 1.66
O1 0.6699 0.4710 0.5236  1 Si 1.66
O2 0.0527 0.1990 0.5290  1 Si 1.66
O3 0.9473 0.4764 0.1463  1 Si 1.66
O4 0.3301 0.8537 0.8010  1 Si 1.66

4.
A plane-wave DFT calculation with PBE with a Hubbard U was carried out for NaMnSiO4 after structural relaxation.

Summary:
- Volume: 99.5 Å³ per cell
- Total DFT energy (no corrections): -6.962 eV/atom
- Total magnetic moment: 0.571 μB per atom
- Symmetry: I-4, No. 82

Cell lengths 5.3894, 5.3894, 5.1237 Å; angles 121.73, 121.73, 90.00 degrees
Closest atoms and distances in Å follow each position.
Fractional coordinates of all 7 atoms:
Na1 0.0000 0.0000 0.0000  4 O 2.37
Mn1 0.5000 0.5000 0.0000  4 O 1.92
Si1 0.2500 0.7500 0.5000  4 O 1.65
O1 0.2397 0.0934 0.7674  1 Si 1.65
O2 0.3260 0.7603 0.2326  1 Si 1.65
O3 0.5276 0.6740 0.7674  1 Si 1.65
O4 0.9066 0.4724 0.2326  1 Si 1.65

Number 4 is which compound? NaMnSiO4

What is the formula in the first record? Na2MnSiO